VASP calculation (PBE) on a relaxed structure of ZrPaSi2.

a b c (Å): 3.991 3.912 5.478
angles (deg): 90.00 111.31 90.00
Positions (direct):
Zr: 0.726 0.000 0.992
Si: 0.004 0.000 0.547
Si: 0.159 0.500 0.857
Pa: 0.441 0.500 0.421

Results
* DFT total energy: -7.84 eV per atom
* energy relative to the lowest polymorph listed for this composition: 0 meV per atom
* uncorrected formation energy: -0.62 eV per atom
* space-group type: Amm2, No. 38
* D(E_F): 3.73 states/eV/f.u.